Here is an optimized crystal structure of Hf3InH from Alexandria. Energies are from PBE.

abc: 11.244 8.172 8.172
angles: 96.17 130.26 49.74
Fractional coordinates of all 20 atoms:
Hf (0.411, 0.200, 0.745)
Hf (0.792, 0.775, 0.818)
Hf (0.691, 0.487, 0.618)
In (0.750, 0.544, 0.044)
Hf (0.191, 0.882, 0.013)
Hf (0.708, 0.318, 0.275)
Hf (0.208, 0.225, 0.182)
In (0.750, 0.033, 0.533)
Hf (0.589, 0.800, 0.255)
Hf (0.911, 0.755, 0.300)
H (0.316, 0.878, 0.911)
H (0.184, 0.411, 0.378)
Hf (0.292, 0.682, 0.725)
H (0.816, 0.589, 0.622)
In (0.250, 0.967, 0.467)
H (0.684, 0.122, 0.089)
In (0.250, 0.456, 0.956)
Hf (0.309, 0.513, 0.382)
Hf (0.089, 0.245, 0.700)
Hf (0.809, 0.118, 0.987)

Calculated values
VASP energy ... -145.7 eV per cell
Space-group type ... C2/c (15)
Size of the total moment ... 0.0 μB/f.u.